The following is a GGA-PBE calculation of crystalline Li2ScRe at its relaxed geometry, from Alexandria.

The structure belongs to space group Cm (No. 8); the cell edges are 9.321, 2.641 and 5.534 Å and the angles 90.00°, 96.12° and 90.00°. The asymmetric unit holds Li at (0.000, 0.000, 0.000), Li at (0.249, 0.500, 0.231), Sc at (0.011, 0.500, 0.533) and Re at (0.252, 0.000, 0.743).

=====

The following is a GGA-PBE calculation of crystalline LiScRe at its relaxed geometry, from Alexandria.

The structure belongs to space group F-43m (No. 216); the cell edges are 5.899, 5.899 and 5.899 Å and the angles 90.00°, 90.00° and 90.00°. The asymmetric unit holds Li at (0.000, 0.000, 0.000), Sc at (0.250, 0.250, 0.750) and Re at (0.250, 0.250, 0.250).

=====

The following is a GGA-PBE calculation of crystalline Li2ScRe at its relaxed geometry, from Alexandria.

The structure belongs to space group Immm (No. 71); the cell edges are 2.867, 4.624 and 10.355 Å and the angles 90.00°, 90.00° and 90.00°. The asymmetric unit holds Li at (0.000, 0.000, 0.230), Sc at (0.000, 0.500, 0.000) and Re at (0.000, 0.500, 0.500).

=====

The following is a GGA-PBE calculation of crystalline LiScTaRe at its relaxed geometry, from Alexandria.

The structure belongs to space group F-43m (No. 216); the cell edges are 6.436, 6.436 and 6.436 Å and the angles 90.00°, 90.00° and 90.00°. The asymmetric unit holds Li at (0.000, 0.000, 0.000), Sc at (0.250, 0.250, 0.250), Ta at (0.250, 0.250, 0.750) and Re at (0.000, 0.000, 0.500).

=====

The following is a GGA-PBE calculation of crystalline LiTbScRe at its relaxed geometry, from Alexandria.

The structure belongs to space group F-43m (No. 216); the cell edges are 6.787, 6.787 and 6.787 Å and the angles 90.00°, 90.00° and 90.00°. The asymmetric unit holds Li at (0.000, 0.000, 0.000), Tb at (0.250, 0.250, 0.750), Sc at (0.250, 0.250, 0.250) and Re at (0.000, 0.000, 0.500).

=====

The following is a GGA-PBE calculation of crystalline LiScReTc at its relaxed geometry, from Alexandria.

The structure belongs to space group F-43m (No. 216); the cell edges are 6.257, 6.257 and 6.257 Å and the angles 90.00°, 90.00° and 90.00°. The asymmetric unit holds Li at (0.000, 0.000, 0.000), Sc at (0.250, 0.250, 0.250), Re at (0.000, 0.000, 0.500) and Tc at (0.250, 0.250, 0.750).

=====

The following is a GGA-PBE calculation of crystalline LiThScRe at its relaxed geometry, from Alexandria.

The structure belongs to space group F-43m (No. 216); the cell edges are 6.888, 6.888 and 6.888 Å and the angles 90.00°, 90.00° and 90.00°. The asymmetric unit holds Li at (0.000, 0.000, 0.000), Th at (0.250, 0.250, 0.250), Sc at (0.250, 0.250, 0.750) and Re at (0.000, 0.000, 0.500).

=====

The following is a GGA-PBE calculation of crystalline LiTmScRe at its relaxed geometry, from Alexandria.

The structure belongs to space group F-43m (No. 216); the cell edges are 6.734, 6.734 and 6.734 Å and the angles 90.00°, 90.00° and 90.00°. The asymmetric unit holds Li at (0.000, 0.000, 0.000), Tm at (0.250, 0.250, 0.250), Sc at (0.250, 0.250, 0.750) and Re at (0.000, 0.000, 0.500).

=====

The following is a GGA-PBE calculation of crystalline LiScVRe at its relaxed geometry, from Alexandria.

The structure belongs to space group F-43m (No. 216); the cell edges are 6.276, 6.276 and 6.276 Å and the angles 90.00°, 90.00° and 90.00°. The asymmetric unit holds Li at (0.000, 0.000, 0.000), Sc at (0.250, 0.250, 0.250), V at (0.250, 0.250, 0.750) and Re at (0.000, 0.000, 0.500).

=====

The following is a GGA-PBE calculation of crystalline LiScReW at its relaxed geometry, from Alexandria.

The structure belongs to space group F-43m (No. 216); the cell edges are 6.332, 6.332 and 6.332 Å and the angles 90.00°, 90.00° and 90.00°. The asymmetric unit holds Li at (0.000, 0.000, 0.000), Sc at (0.250, 0.250, 0.250), Re at (0.000, 0.000, 0.500) and W at (0.250, 0.250, 0.750).

=====

The following is a GGA-PBE calculation of crystalline LiSc2ReW at its relaxed geometry, from Alexandria.

The structure belongs to space group P4/mmm (No. 123); the cell edges are 5.122, 5.122 and 4.766 Å and the angles 90.00°, 90.00° and 90.00°. The asymmetric unit holds Li at (0.000, 0.000, 0.000), Sc at (0.000, 0.500, 0.500), Re at (0.500, 0.500, 0.500) and W at (0.500, 0.500, 0.000).

=====

The following is a GGA-PBE calculation of crystalline LiYScRe at its relaxed geometry, from Alexandria.

The structure belongs to space group F-43m (No. 216); the cell edges are 6.793, 6.793 and 6.793 Å and the angles 90.00°, 90.00° and 90.00°. The asymmetric unit holds Li at (0.000, 0.000, 0.000), Y at (0.250, 0.250, 0.750), Sc at (0.250, 0.250, 0.250) and Re at (0.000, 0.000, 0.500).

=====

Number 1: energy of formation 1.31 eV/f.u.. Number 2: energy of formation 2.84 eV/f.u.. Number 3: energy of formation 1.02 eV/f.u.. Number 4: energy of formation -0.19 eV/f.u.. Number 5: energy of formation 0.18 eV/f.u.. Number 6: energy of formation -0.07 eV/f.u.. Number 7: energy of formation -0.23 eV/f.u.. Number 8: energy of formation 0.03 eV/f.u.. Number 9: energy of formation 0.28 eV/f.u.. Number 10: energy of formation 0.23 eV/f.u.. Number 11: energy of formation 3.82 eV/f.u.. Number 12: energy of formation 0.23 eV/f.u..